Entry 1:
DFT (meta-GGA SCAN) results for a crystal of NbCr2Os relaxed with PBEsol.

Computed properties:
The formation energy comes out at 0.0 kcal/mol of atoms. The value obtained for the total magnetic moment is 0.00 μB per formula unit.

a = 4.237 Å, b = 4.237 Å, c = 4.237 Å
α = 60.00°, β = 60.00°, γ = 60.00°
Sites, in units of the cell vectors:
Cr (0.250, 0.250, 0.250)
Cr (0.750, 0.750, 0.750)
Nb (0.000, 0.000, 0.000)
Os (0.500, 0.500, 0.500)

***

Entry 2:
DFT (meta-GGA SCAN) results for a crystal of AlCuP2 relaxed with PBEsol.

Computed properties:
The formation energy comes out at 5.5 kcal/mol of atoms. The value obtained for the total magnetic moment is 0.00 μB per formula unit.

a = 3.344 Å, b = 3.344 Å, c = 4.980 Å
α = 90.00°, β = 90.00°, γ = 90.00°
Sites, in units of the cell vectors:
P (0.000, 0.000, 0.730)
P (0.000, 0.000, 0.270)
Al (0.500, 0.500, 0.000)
Cu (0.500, 0.500, 0.500)

***

Entry 3:
DFT (meta-GGA SCAN) results for a crystal of Zn2FeOs relaxed with PBEsol.

Computed properties:
The formation energy comes out at 4.6 kcal/mol of atoms. The value obtained for the energy above the most stable polymorph in this dataset is 107 meV per atom. The value obtained for the total magnetic moment is 3.47 μB per formula unit.

a = 3.080 Å, b = 3.080 Å, c = 5.423 Å
α = 90.00°, β = 90.00°, γ = 90.00°
Each line ends with the local moment (μB).
Sites, in units of the cell vectors:
Fe (0.500, 0.500, 0.000)  2.93
Os (0.500, 0.500, 0.500)  0.58
Zn (0.000, 0.000, 0.758)  -0.03
Zn (0.000, 0.000, 0.242)  -0.03

***

Entry 4:
DFT (meta-GGA SCAN) results for a crystal of KCd3Pt relaxed with PBEsol.

Computed properties:
The formation energy comes out at -7.0 kcal/mol of atoms. The value obtained for the total magnetic moment is 0.00 μB per formula unit.

a = 5.209 Å, b = 5.209 Å, c = 5.209 Å
α = 90.00°, β = 90.00°, γ = 90.00°
Sites, in units of the cell vectors:
K (0.500, 0.500, 0.500)
Pt (0.000, 0.000, 0.000)
Cd (0.000, 0.000, 0.500)
Cd (0.000, 0.500, 0.000)
Cd (0.500, 0.000, 0.000)

***

Entry 5:
DFT (meta-GGA SCAN) results for a crystal of MgSbPb2 relaxed with PBEsol.

Computed properties:
The uncorrected formation energy comes out at -0.0382 eV/atom. The value obtained for the energy above the most stable polymorph in this dataset is 1 meV per atom. The value obtained for the total magnetic moment is 0.00 μB per formula unit.

a = 3.449 Å, b = 3.449 Å, c = 9.029 Å
α = 90.00°, β = 90.00°, γ = 89.99°
Sites, in units of the cell vectors:
Pb (0.000, 0.000, 0.023)
Pb (0.500, 0.500, 0.746)
Sb (0.000, 0.000, 0.470)
Mg (0.500, 0.500, 0.261)

***

Entry 6:
DFT (meta-GGA SCAN) results for a crystal of B10H13Br relaxed with PBEsol.

Computed properties:
The value obtained for the total magnetic moment is 0.00 μB per formula unit. The total energy is -141.97 eV/f.u.

a = 7.653 Å, b = 10.857 Å, c = 12.260 Å
α = 114.97°, β = 90.00°, γ = 90.00°
Sites, in units of the cell vectors:
B (0.151, 0.191, 0.861)
B (0.651, 0.309, 0.139)
B (0.849, 0.809, 0.139)
B (0.349, 0.691, 0.861)
B (0.022, 0.111, 0.730)
B (0.522, 0.389, 0.270)
B (0.978, 0.889, 0.270)
B (0.478, 0.611, 0.730)
B (0.237, 0.163, 0.719)
B (0.737, 0.337, 0.281)
B (0.763, 0.837, 0.281)
B (0.263, 0.663, 0.719)
B (0.379, 0.170, 0.835)
B (0.879, 0.330, 0.165)
B (0.621, 0.830, 0.165)
B (0.121, 0.670, 0.835)
B (0.030, 0.047, 0.843)
B (0.530, 0.453, 0.157)
B (0.970, 0.953, 0.157)
B (0.470, 0.547, 0.843)
B (0.017, 0.938, 0.687)
B (0.517, 0.562, 0.313)
B (0.983, 0.062, 0.313)
B (0.483, 0.438, 0.687)
B (0.170, 0.003, 0.616)
B (0.670, 0.497, 0.384)
B (0.830, 0.997, 0.384)
B (0.330, 0.503, 0.616)
B (0.403, 0.042, 0.685)
B (0.903, 0.458, 0.315)
B (0.597, 0.958, 0.315)
B (0.097, 0.542, 0.685)
B (0.442, 0.009, 0.813)
B (0.942, 0.491, 0.187)
B (0.558, 0.991, 0.187)
B (0.058, 0.509, 0.813)
B (0.264, 0.086, 0.912)
B (0.764, 0.414, 0.088)
B (0.736, 0.914, 0.088)
B (0.236, 0.586, 0.912)
H (0.097, 0.295, 0.939)
H (0.597, 0.205, 0.061)
H (0.903, 0.705, 0.061)
H (0.403, 0.795, 0.939)
H (0.898, 0.166, 0.711)
H (0.398, 0.334, 0.289)
H (0.102, 0.834, 0.289)
H (0.602, 0.666, 0.711)
H (0.255, 0.243, 0.676)
H (0.755, 0.257, 0.324)
H (0.745, 0.757, 0.324)
H (0.245, 0.743, 0.676)
H (0.476, 0.264, 0.882)
H (0.976, 0.236, 0.118)
H (0.524, 0.736, 0.118)
H (0.024, 0.764, 0.882)
H (0.912, 0.048, 0.908)
H (0.412, 0.452, 0.092)
H (0.088, 0.952, 0.092)
H (0.588, 0.548, 0.908)
H (0.157, 0.971, 0.510)
H (0.657, 0.529, 0.490)
H (0.843, 0.029, 0.490)
H (0.343, 0.471, 0.510)
H (0.520, 0.032, 0.617)
H (0.020, 0.468, 0.383)
H (0.480, 0.968, 0.383)
H (0.980, 0.532, 0.617)
H (0.575, 0.970, 0.839)
H (0.075, 0.530, 0.161)
H (0.425, 0.030, 0.161)
H (0.925, 0.470, 0.839)
H (0.276, 0.109, 0.016)
H (0.776, 0.391, 0.984)
H (0.724, 0.891, 0.984)
H (0.224, 0.609, 0.016)
H (0.074, 0.918, 0.784)
H (0.574, 0.582, 0.216)
H (0.926, 0.082, 0.216)
H (0.426, 0.418, 0.784)
H (0.172, 0.889, 0.629)
H (0.672, 0.611, 0.371)
H (0.828, 0.111, 0.371)
H (0.328, 0.389, 0.629)
H (0.410, 0.926, 0.698)
H (0.910, 0.574, 0.302)
H (0.590, 0.074, 0.302)
H (0.090, 0.426, 0.698)
H (0.313, 0.956, 0.854)
H (0.813, 0.544, 0.146)
H (0.687, 0.044, 0.146)
H (0.187, 0.456, 0.854)
Br (0.839, 0.806, 0.608)
Br (0.339, 0.694, 0.392)
Br (0.161, 0.194, 0.392)
Br (0.661, 0.306, 0.608)

***

Entry 7:
DFT (meta-GGA SCAN) results for a crystal of Mn2P relaxed with PBEsol.

Computed properties:
The formation energy comes out at -14.6 kcal/mol of atoms. The value obtained for the total magnetic moment is 2.85 μB per formula unit.

a = 3.339 Å, b = 5.868 Å, c = 5.868 Å
α = 120.00°, β = 90.00°, γ = 90.00°
Each line ends with the local moment (μB).
Sites, in units of the cell vectors:
Mn (0.000, 0.749, 0.749)  -0.21
Mn (0.000, 0.000, 0.251)  -0.21
Mn (0.000, 0.251, 0.000)  -0.21
Mn (0.500, 0.406, 0.406)  3.13
Mn (0.500, 0.000, 0.594)  3.13
Mn (0.500, 0.594, 0.000)  3.13
P (0.000, 0.667, 0.333)  -0.08
P (0.000, 0.333, 0.667)  -0.08
P (0.500, 0.000, 0.000)  -0.04

***

Entry 8:
DFT (meta-GGA SCAN) results for a crystal of ZrBiSI2 relaxed with PBEsol.

Computed properties:
The uncorrected formation energy comes out at 0.4434 eV/atom. The value obtained for the total magnetic moment is 0.00 μB per formula unit.

a = 4.840 Å, b = 5.526 Å, c = 5.526 Å
α = 90.00°, β = 90.00°, γ = 90.00°
Sites, in units of the cell vectors:
I (0.000, 0.000, 0.500)
I (0.000, 0.500, 0.000)
S (0.000, 0.000, 0.000)
Bi (0.500, 0.500, 0.500)
Zr (0.500, 0.000, 0.000)